{"formula": "YbIn7Cu5", "functional": "PBE", "state": "optimized geometry", "lattice": [[-2.782, 4.749, 4.771], [2.782, -4.749, 4.771], [2.782, 4.749, -4.771]], "species": ["Yb", "In", "In", "In", "In", "In", "In", "In", "Cu", "Cu", "Cu", "Cu", "Cu"], "frac_coords": [[0.000, 0.000, 0.000], [0.180, 0.486, 0.694], [0.230, 0.730, 0.500], [0.346, 0.346, 0.000], [0.352, 0.013, 0.338], [0.666, 0.666, 0.000], [0.675, 0.013, 0.662], [0.793, 0.486, 0.306], [0.506, 0.506, 0.512], [0.506, 0.994, 0.000], [0.765, 0.265, 0.500], [0.993, 0.506, 0.000], [0.993, 0.994, 0.488]]}

---

{"formula": "YbIn6Cu6", "functional": "PBE", "state": "optimized geometry", "lattice": [[-2.747, 4.625, 4.644], [2.747, -4.625, 4.644], [2.747, 4.625, -4.644]], "species": ["Yb", "In", "In", "In", "In", "In", "In", "Cu", "Cu", "Cu", "Cu", "Cu", "Cu"], "frac_coords": [[0.000, 0.000, 0.000], [0.181, 0.681, 0.500], [0.338, 0.000, 0.338], [0.341, 0.341, 0.000], [0.659, 0.659, 0.000], [0.662, 0.000, 0.662], [0.819, 0.319, 0.500], [0.000, 0.000, 0.500], [0.000, 0.500, 0.000], [0.238, 0.500, 0.738], [0.500, 0.000, 0.000], [0.500, 0.500, 0.500], [0.762, 0.500, 0.262]]}

---

{"formula": "ZnInCu2", "functional": "PBE", "state": "optimized geometry", "lattice": [[2.942, 0.000, 0.000], [-1.471, 2.547, 0.000], [0.000, 0.000, 25.420]], "species": ["Zn", "Zn", "Zn", "In", "In", "In", "Cu", "Cu", "Cu", "Cu", "Cu", "Cu"], "frac_coords": [[0.000, 0.000, 0.000], [0.333, 0.667, 0.667], [0.667, 0.333, 0.333], [0.000, 0.000, 0.500], [0.333, 0.667, 0.167], [0.667, 0.333, 0.833], [0.000, 0.000, 0.255], [0.000, 0.000, 0.745], [0.333, 0.667, 0.411], [0.333, 0.667, 0.922], [0.667, 0.333, 0.078], [0.667, 0.333, 0.589]]}

---

{"formula": "Zn9InCu2", "functional": "PBE", "state": "optimized geometry", "lattice": [[-5.337, 5.337, 3.377], [5.337, -5.337, 3.377], [5.337, 5.337, -3.377]], "species": ["Zn", "Zn", "Zn", "Zn", "Zn", "Zn", "Zn", "Zn", "Zn", "Zn", "Zn", "Zn", "Zn", "Zn", "Zn", "Zn", "Zn", "Zn", "In", "In", "Cu", "Cu", "Cu", "Cu"], "frac_coords": [[0.063, 0.230, 0.424], [0.063, 0.639, 0.833], [0.230, 0.063, 0.924], [0.230, 0.307, 0.167], [0.307, 0.230, 0.667], [0.307, 0.639, 0.076], [0.361, 0.693, 0.424], [0.361, 0.937, 0.667], [0.375, 0.625, 0.750], [0.625, 0.375, 0.250], [0.639, 0.063, 0.333], [0.639, 0.307, 0.576], [0.693, 0.361, 0.924], [0.693, 0.770, 0.333], [0.770, 0.693, 0.833], [0.770, 0.937, 0.076], [0.937, 0.361, 0.167], [0.937, 0.770, 0.576], [0.125, 0.875, 0.250], [0.875, 0.125, 0.750], [0.000, 0.500, 0.500], [0.500, 0.000, 0.000], [0.500, 0.500, 0.000], [0.500, 0.500, 0.500]]}

---

| no. | mass density (Mg/m³) | uncorrected energy (eV/cell) |
| --- | --- | --- |
| 1 | 8.5 | -42.24 |
| 2 | 8.7 | -44.03 |
| 3 | 8.0 | -34.47 |
| 4 | 7.2 | -44.65 |